Density functional theory data (PBE) for a relaxed MgTl2F crystal.

Summary:
- Magnetization: 0.00 Bohr magnetons per cell
- Symmetry: No. 225
- Raw formation energy: -0.550 eV per atom
- Calculated volume: 23.5 A^3/atom
- Final energy: -2.600 eV/atom

Lattice parameters (Å, degrees): 5.1057 5.1057 5.1057 60.00 60.00 60.00
Fractional positions:
Mg (0.0000, 0.0000, 0.0000)
Tl (0.2500, 0.2500, 0.2500)
Tl (0.7500, 0.7500, 0.7500)
F (0.5000, 0.5000, 0.5000)